First-principles (SCAN) data for a PBEsol-optimized structure of K2IrRuF, as listed in Alexandria.

## Properties
Total energy ... -124.818 eV/f.u.
Formation energy from raw total energies ... 1.31 eV/f.u.

Cell: 4.501 6.174 6.174 Å, 90.00 90.00 90.00°
Site moments in Bohr magnetons follow the coordinates.
Positions (direct):
Ir (0.000, 0.000, 0.000)  0.07
K (0.000, 0.500, 0.000)  0.00
K (0.000, 0.000, 0.500)  0.00
F (0.500, 0.500, 0.500)  0.01
Ru (0.500, 0.000, 0.000)  1.19